The following is a DFT calculation (GGA-PBE) of a relaxed Rb2MoS crystal.

Computed properties:
Density in g/cm3: 2.523
Total energy in eV per atom: -3.986
Density of states at the Fermi level in states/eV per cell: 7.11

Unit cell a=13.029 b=13.029 c=9.500 alpha=46.71 beta=46.71 gamma=90.00
Site moments in Bohr magnetons follow the coordinates.
Atoms (fractional coordinates):
Mo  0.000  0.000  0.000  2.58
Mo  0.750  0.250  0.500  2.59
S  0.500  0.500  0.000  -0.07
S  0.250  0.750  0.500  -0.07
Rb  0.429  0.125  0.250  0.01
Rb  0.321  0.625  0.250  0.01
Rb  0.375  0.571  0.750  0.01
Rb  0.875  0.679  0.750  0.01

***

The following is a DFT calculation (GGA-PBE) of a relaxed Ho4As2PSe crystal.

Computed properties:
Density in g/cm3: 8.062
Total energy in eV per atom: -6.222
Density of states at the Fermi level in states/eV per cell: 1.27

Unit cell a=4.061 b=7.022 c=7.041 alpha=70.64 beta=90.00 gamma=90.00
Atoms (fractional coordinates):
Ho  0.000  0.754  0.740
Ho  0.000  0.246  0.260
Ho  0.500  0.748  0.258
Ho  0.500  0.252  0.742
As  0.000  0.000  0.000
As  0.500  0.000  0.500
P  0.000  0.500  0.500
Se  0.500  0.500  0.000

***

The following is a DFT calculation (GGA-PBE) of a relaxed NaHfS2Cl crystal.

Computed properties:
Density in g/cm3: 4.746
Total energy in eV per atom: -4.089
Polymorph energy (0 for the lowest one) in eV per atom: 1.539
Density of states at the Fermi level in states/eV per cell: 3.23

Unit cell a=4.848 b=4.848 c=4.481 alpha=90.00 beta=90.00 gamma=90.00
Atoms (fractional coordinates):
Na  0.000  0.000  0.000
S  0.000  0.500  0.000
S  0.500  0.000  0.000
Hf  0.500  0.500  0.500
Cl  0.000  0.000  0.500

***

The following is a DFT calculation (GGA-PBE) of a relaxed Nd3Er4Al4 crystal.

Computed properties:
Density in g/cm3: 6.595
Total energy in eV per atom: -4.516
DFT formation energy in meV per atom: -196
Density of states at the Fermi level in states/eV per cell: 10.40

Unit cell a=5.127 b=7.085 c=9.456 alpha=112.00 beta=105.73 gamma=90.00
Atoms (fractional coordinates):
Nd  0.107  0.107  0.214
Nd  0.893  0.893  0.786
Nd  0.000  0.500  0.000
Er  0.322  0.094  0.643
Er  0.678  0.451  0.357
Er  0.678  0.906  0.357
Er  0.322  0.549  0.643
Al  0.184  0.684  0.367
Al  0.816  0.316  0.633
Al  0.500  0.809  0.000
Al  0.500  0.191  0.000

***

The following is a DFT calculation (GGA-PBE) of a relaxed PmGdMgMn crystal.

Computed properties:
Density in g/cm3: 6.089
Total energy in eV per atom: -7.272
DFT formation energy in meV per atom: 127
Density of states at the Fermi level in states/eV per cell: 4.51

Unit cell a=5.279 b=5.279 c=5.279 alpha=60.00 beta=60.00 gamma=60.00
Site moments in Bohr magnetons follow the coordinates.
Atoms (fractional coordinates):
Mg  0.500  0.500  0.500  -0.01
Gd  0.250  0.250  0.250  6.91
Mn  0.000  0.000  0.000  3.72
Pm  0.750  0.750  0.750  -0.17

***

The following is a DFT calculation (GGA-PBE) of a relaxed NdPaMn4 crystal.

Computed properties:
Density in g/cm3: 10.035
Total energy in eV per atom: -8.354
DFT formation energy in meV per atom: 136
Density of states at the Fermi level in states/eV per cell: 6.85

Unit cell a=5.183 b=5.183 c=5.183 alpha=60.00 beta=60.00 gamma=60.00
Site moments in Bohr magnetons follow the coordinates.
Atoms (fractional coordinates):
Pa  0.000  0.000  0.000  -0.71
Nd  0.250  0.250  0.250  -0.26
Mn  0.626  0.626  0.121  1.92
Mn  0.626  0.121  0.626  1.92
Mn  0.626  0.626  0.626  1.92
Mn  0.121  0.626  0.626  1.92

***

The following is a DFT calculation (GGA-PBE) of a relaxed YZnPt2 crystal.

Computed properties:
Density in g/cm3: 11.848
Total energy in eV per atom: -5.107
DFT formation energy in meV per atom: -152
Density of states at the Fermi level in states/eV per cell: 2.56

Unit cell a=6.013 b=6.013 c=6.013 alpha=56.73 beta=151.64 gamma=131.96
Atoms (fractional coordinates):
Y  0.000  0.500  0.500
Zn  0.000  0.000  0.000
Pt  0.000  0.236  0.236
Pt  0.000  0.764  0.764

***

The following is a DFT calculation (GGA-PBE) of a relaxed Hf2AlHg crystal.

Computed properties:
Density in g/cm3: 12.229
Total energy in eV per atom: -6.189
DFT formation energy in meV per atom: -202
Polymorph energy (0 for the lowest one) in eV per atom: 0.000
Density of states at the Fermi level in states/eV per cell: 4.89

Unit cell a=3.058 b=3.058 c=8.486 alpha=90.00 beta=90.00 gamma=90.00
Atoms (fractional coordinates):
Hf  0.000  0.000  0.764
Hf  0.000  0.000  0.236
Hg  0.500  0.500  0.500
Al  0.500  0.500  0.000

***

Which of these has the lowest density?
Rb2MoS

***

What did the first record say?
The following is a DFT calculation (GGA-PBE) of a relaxed Rb2MoS crystal.

Computed properties:
Density in g/cm3: 2.523
Total energy in eV per atom: -3.986
Density of states at the Fermi level in states/eV per cell: 7.11

Unit cell a=13.029 b=13.029 c=9.500 alpha=46.71 beta=46.71 gamma=90.00
Site moments in Bohr magnetons follow the coordinates.
Atoms (fractional coordinates):
Mo  0.000  0.000  0.000  2.58
Mo  0.750  0.250  0.500  2.59
S  0.500  0.500  0.000  -0.07
S  0.250  0.750  0.500  -0.07
Rb  0.429  0.125  0.250  0.01
Rb  0.321  0.625  0.250  0.01
Rb  0.375  0.571  0.750  0.01
Rb  0.875  0.679  0.750  0.01

***

What did the first record say?
The following is a DFT calculation (GGA-PBE) of a relaxed Rb2MoS crystal.

Computed properties:
Density in g/cm3: 2.523
Total energy in eV per atom: -3.986
Density of states at the Fermi level in states/eV per cell: 7.11

Unit cell a=13.029 b=13.029 c=9.500 alpha=46.71 beta=46.71 gamma=90.00
Site moments in Bohr magnetons follow the coordinates.
Atoms (fractional coordinates):
Mo  0.000  0.000  0.000  2.58
Mo  0.750  0.250  0.500  2.59
S  0.500  0.500  0.000  -0.07
S  0.250  0.750  0.500  -0.07
Rb  0.429  0.125  0.250  0.01
Rb  0.321  0.625  0.250  0.01
Rb  0.375  0.571  0.750  0.01
Rb  0.875  0.679  0.750  0.01

***

Which formula does entry 7 have?
YZnPt2